The following is a PBE calculation of a relaxed Nd5CoBr5 crystal, from Alexandria via LeMat-Bulk.

a = 13.0321 Å, b = 5.9506 Å, c = 8.8219 Å
α = 90.00°, β = 110.01°, γ = 90.00°
Space group C2/m (No. 12)
Inequivalent atoms, fractional coordinates:
Nd: 0.0000 0.0000 0.0000 (multiplicity 2)
Nd: 0.1403 0.5000 0.2780 (multiplicity 4)
Nd: 0.1682 0.5000 0.8665 (multiplicity 4)
Co: 0.0000 0.5000 0.0000 (multiplicity 2)
Br: 0.0000 0.5000 0.5000 (multiplicity 2)
Br: 0.1451 0.0000 0.7883 (multiplicity 4)
Br: 0.1755 0.0000 0.3580 (multiplicity 4)

Values from the calculation:
DFT total energy = -4.7324 eV/atom
DOS at the Fermi energy = 15.275 states/eV/cell
total moment = 0.000 μB per atom